# 1
# BaLaSe2 PBE relaxed
data_BaLaSe2
_cell_length_a 4.7035
_cell_length_b 4.2290
_cell_length_c 12.8844
_cell_angle_alpha 90.00
_cell_angle_beta 90.00
_cell_angle_gamma 90.00
_symmetry_space_group_name_H-M 'A m m 2'
_symmetry_Int_Tables_number 38
_symmetry_space_group_name_Hall 'A 2 -2'
loop_
_atom_site_label
_atom_site_type_symbol
_atom_site_fract_x
_atom_site_fract_y
_atom_site_fract_z
Ba1 Ba 0.0000 0.0000 0.0000
La1 La 0.5000 0.0000 0.2644
Se1 Se 0.0000 0.0000 0.7464
Se2 Se 0.5000 0.0000 0.4953
# Formation energy (no corrections) ... -1.755 eV per atom
# Fermi-level density of states ... 2.202 states/eV/f.u.
# Energy relative to the lowest polymorph listed for this composition ... 236 meV/atom

***

# 2
# TlSb6Pb8 PBE relaxed
data_TlSb6Pb8
_cell_length_a 7.0985
_cell_length_b 9.2166
_cell_length_c 9.2180
_cell_angle_alpha 119.90
_cell_angle_beta 90.08
_cell_angle_gamma 90.17
_symmetry_space_group_name_H-M 'P -1'
_symmetry_Int_Tables_number 2
_symmetry_space_group_name_Hall '-P 1'
loop_
_atom_site_label
_atom_site_type_symbol
_atom_site_fract_x
_atom_site_fract_y
_atom_site_fract_z
Tl1 Tl 0.0000 0.0000 0.0000
Sb1 Sb 0.2154 0.6520 0.9993
Sb2 Sb 0.2163 0.0009 0.6531
Sb3 Sb 0.2160 0.3470 0.3482
Pb1 Pb 0.0014 0.3329 0.6663
Pb2 Pb 0.3378 0.9999 0.3260
Pb3 Pb 0.3377 0.3261 0.0006
Pb4 Pb 0.3379 0.6745 0.6738
# Formation energy (no corrections) ... 0.008 eV per atom
# Fermi-level density of states ... 5.363 states/eV/f.u.

***

# 3
# AcLa2Pr2Er2 PBE relaxed
data_AcLa2Pr2Er2
_cell_length_a 11.7603
_cell_length_b 5.2777
_cell_length_c 8.1987
_cell_angle_alpha 90.00
_cell_angle_beta 98.07
_cell_angle_gamma 90.00
_symmetry_space_group_name_H-M 'C 1 2/m 1'
_symmetry_Int_Tables_number 12
_symmetry_space_group_name_Hall '-C 2y'
loop_
_atom_site_label
_atom_site_type_symbol
_atom_site_fract_x
_atom_site_fract_y
_atom_site_fract_z
Ac1 Ac 0.0000 0.0000 0.0000
La1 La 0.2148 0.5000 0.1522
Pr1 Pr 0.0748 0.5000 0.7057
Er1 Er 0.1422 0.0000 0.4331
# Fermi-level density of states ... 12.061 states/eV/f.u.

***

# 4
# ReIr2Cl PBE relaxed
data_ReIr2Cl
_cell_length_a 2.7465
_cell_length_b 4.1171
_cell_length_c 11.6397
_cell_angle_alpha 90.00
_cell_angle_beta 90.00
_cell_angle_gamma 90.00
_symmetry_space_group_name_H-M 'I m m 2'
_symmetry_Int_Tables_number 44
_symmetry_space_group_name_Hall 'I 2 -2'
loop_
_atom_site_label
_atom_site_type_symbol
_atom_site_fract_x
_atom_site_fract_y
_atom_site_fract_z
Re1 Re 0.0000 0.0000 0.0000
Ir1 Ir 0.0000 0.0000 0.5841
Ir2 Ir 0.0000 0.5000 0.3019
Cl1 Cl 0.0000 0.5000 0.7974
# Formation energy (no corrections) ... 0.668 eV per atom
# Fermi-level density of states ... 3.508 states/eV/f.u.
# Energy relative to the lowest polymorph listed for this composition ... 376 meV/atom

***

# 5
# HfTi4Sn2 PBE relaxed
data_HfTi4Sn2
_cell_length_a 3.9080
_cell_length_b 3.9080
_cell_length_c 18.6302
_cell_angle_alpha 90.00
_cell_angle_beta 90.00
_cell_angle_gamma 90.00
_symmetry_space_group_name_H-M 'I 4/m m m'
_symmetry_Int_Tables_number 139
_symmetry_space_group_name_Hall '-I 4 2'
loop_
_atom_site_label
_atom_site_type_symbol
_atom_site_fract_x
_atom_site_fract_y
_atom_site_fract_z
Hf1 Hf 0.0000 0.0000 0.0000
Ti1 Ti 0.0000 0.0000 0.1393
Ti2 Ti 0.0000 0.5000 0.2500
Sn1 Sn 0.0000 0.0000 0.3911
# Fermi-level density of states ... 6.461 states/eV/f.u.
# Energy relative to the lowest polymorph listed for this composition ... 195 meV/atom

***

# 6
# As2PtPb PBE relaxed
data_As2PtPb
_cell_length_a 4.6312
_cell_length_b 3.9816
_cell_length_c 5.1148
_cell_angle_alpha 90.00
_cell_angle_beta 105.55
_cell_angle_gamma 90.00
_symmetry_space_group_name_H-M 'P 1 2/m 1'
_symmetry_Int_Tables_number 10
_symmetry_space_group_name_Hall '-P 2y'
loop_
_atom_site_label
_atom_site_type_symbol
_atom_site_fract_x
_atom_site_fract_y
_atom_site_fract_z
As1 As 0.2450 0.0000 0.3421
Pt1 Pt 0.0000 0.5000 0.5000
Pb1 Pb 0.5000 0.5000 0.0000
# Fermi-level density of states ... 1.027 states/eV/f.u.

***

Number 1: electronic total energy -20.84 eV/f.u.. Number 2: electronic total energy -56.64 eV/f.u.. Number 3: electronic total energy -32.40 eV/f.u.. Number 4: electronic total energy -29.34 eV/f.u.. Number 5: electronic total energy -48.84 eV/f.u.. Number 6: electronic total energy -20.03 eV/f.u..